(1)
A relaxed Hf3HgPt crystal, computed with GGA-PBE.

```
Hf3HgPt
1.0
5.0521 0.0000 0.0000
0.0000 5.0521 0.0000
0.0000 0.0000 5.0521
Hf Hg Pt
3 1 1
Cartesian
0.0000 0.0000 2.5261 Hf
0.0000 2.5261 0.0000 Hf
2.5261 0.0000 0.0000 Hf
2.5261 2.5261 2.5261 Hg
0.0000 0.0000 0.0000 Pt
```

Output
DFT total energy: -0.2581 Ha/atom
Magnetic moment: 0.00 μB per atom
E above lowest polymorph: 0.0 kJ per mole of atoms
SG: Pm-3m (221)
Formation energy: 216.4 meV per atom

=====

(2)
A relaxed RbCu3Pt crystal, computed with GGA-PBE.

```
RbCu3Pt
1.0
4.8359 0.0000 0.0000
0.0000 4.8359 0.0000
0.0000 0.0000 4.8359
Rb Cu Pt
1 3 1
Cartesian
0.0000 0.0000 0.0000 Rb
0.0000 0.0000 2.4179 Cu
0.0000 2.4179 0.0000 Cu
2.4179 0.0000 0.0000 Cu
2.4179 2.4179 2.4179 Pt
```

Output
DFT total energy: -0.0668 Ha/atom
Magnetic moment: 0.00 μB per atom
E above lowest polymorph: 156.6 kJ per mole of atoms
SG: Pm-3m (221)
Formation energy: 2041.9 meV per atom